(1)
LiAc2Cd16 | PBE | optimized geometry

POSCAR file:
```
LiAc2Cd16
1.0
5.110 2.950 5.042
-5.110 2.950 5.042
0.000 -5.901 5.042
Li Ac Cd
1 2 16
direct
0.000 0.000 0.000
0.429 0.429 0.429
0.757 0.757 0.757
0.086 0.086 0.603
0.086 0.603 0.086
0.092 0.383 0.800
0.092 0.800 0.383
0.196 0.196 0.196
0.248 0.736 0.736
0.383 0.092 0.800
0.383 0.800 0.092
0.450 0.450 0.933
0.450 0.933 0.450
0.603 0.086 0.086
0.736 0.248 0.736
0.736 0.736 0.248
0.800 0.092 0.383
0.800 0.383 0.092
0.933 0.450 0.450
```

Calculated values
VASP energy, eV per cell: -28.7
E_form, eV per atom: -0.208
Space-group type: R3m


(2)
BaH2Pd | PBE | optimized geometry

POSCAR file:
```
BaH2Pd
1.0
0.000 3.236 3.236
3.236 0.000 3.236
3.236 3.236 0.000
Ba H Pd
1 2 1
direct
0.000 0.000 0.000
0.250 0.250 0.250
0.750 0.750 0.750
0.500 0.500 0.500
```

Calculated values
VASP energy, eV per cell: -13.3
Offset from the most stable computed form, eV per formula unit: 2.41
Space-group type: Fm-3m


(3)
SmYEr2S4 | PBE | optimized geometry

POSCAR file:
```
SmYEr2S4
1.0
6.774 0.000 0.000
0.000 3.873 0.000
-2.221 0.000 6.468
Sm Y Er S
1 1 2 4
direct
0.000 0.000 0.000
0.500 0.500 0.000
0.000 0.500 0.500
0.500 0.000 0.500
0.251 0.000 0.742
0.258 0.500 0.261
0.742 0.500 0.739
0.749 0.000 0.258
```

Calculated values
VASP energy, eV per cell: -52.7
Space-group type: P2/m


(4)
Pm2PrTm3 | PBE | optimized geometry

POSCAR file:
```
Pm2PrTm3
1.0
4.752 -6.586 0.000
4.752 6.586 0.000
0.000 0.000 6.373
Pm Pr Tm
4 2 6
direct
0.125 0.238 0.000
0.238 0.125 0.500
0.762 0.875 0.000
0.875 0.762 0.500
0.326 0.674 0.275
0.674 0.326 0.775
0.016 0.621 0.950
0.379 0.984 0.950
0.417 0.583 0.751
0.583 0.417 0.251
0.621 0.016 0.450
0.984 0.379 0.450
```

Calculated values
VASP energy, eV per cell: -52.8
Offset from the most stable computed form, eV per formula unit: 0.86
E_form, eV per atom: 0.214
Space-group type: Cmc2_1


(5)
Er4CdAg | PBE | optimized geometry

POSCAR file:
```
Er4CdAg
1.0
5.015 0.000 0.000
0.000 5.015 0.000
0.000 0.000 7.167
Er Cd Ag
4 1 1
direct
0.000 0.500 0.244
0.000 0.500 0.756
0.500 0.000 0.244
0.500 0.000 0.756
0.000 0.000 0.500
0.500 0.500 0.000
```

Calculated values
VASP energy, eV per cell: -21.6
Offset from the most stable computed form, eV per formula unit: 1.47
E_form, eV per atom: 0.061
Space-group type: P4/mmm


(6)
MgCoSe2 | PBE | optimized geometry

POSCAR file:
```
MgCoSe2
1.0
4.584 0.000 0.000
0.000 4.584 0.000
0.000 0.000 3.191
Mg Co Se
1 1 2
direct
0.000 0.000 0.000
0.500 0.500 0.000
0.000 0.500 0.500
0.500 0.000 0.500
```

Calculated values
VASP energy, eV per cell: -16.0
Offset from the most stable computed form, eV per formula unit: 1.72
Space-group type: P4/mmm


(7)
CsTlPd | PBE | optimized geometry

POSCAR file:
```
CsTlPd
1.0
4.748 0.000 0.000
-2.374 4.112 0.000
0.000 0.000 5.767
Cs Tl Pd
1 1 1
direct
0.000 0.000 0.000
0.667 0.333 0.500
0.333 0.667 0.501
```

Calculated values
VASP energy, eV per cell: -8.7
Offset from the most stable computed form, eV per formula unit: 0.00
E_form, eV per atom: -0.081
Space-group type: P3m1


(8)
Cs2Zn2CuTe4 | PBE | optimized geometry

POSCAR file:
```
Cs2Zn2CuTe4
1.0
9.497 -2.099 0.000
9.497 2.099 0.000
-2.542 0.000 7.992
Cs Zn Cu Te
2 2 1 4
direct
0.120 0.120 0.019
0.880 0.880 0.981
0.323 0.323 0.509
0.677 0.677 0.491
0.000 0.000 0.500
0.224 0.224 0.693
0.468 0.468 0.675
0.532 0.532 0.325
0.776 0.776 0.307
```

Calculated values
VASP energy, eV per cell: -25.9
Space-group type: C2/m


(9)
BiSbTe2N | PBE | optimized geometry

POSCAR file:
```
BiSbTe2N
1.0
5.902 0.000 0.000
0.000 5.902 0.000
0.000 0.000 5.874
Bi Sb Te N
1 1 2 1
direct
0.000 0.000 0.000
0.000 0.000 0.500
0.000 0.500 0.000
0.500 0.000 0.000
0.500 0.500 0.500
```

Calculated values
VASP energy, eV per cell: -12.3
Offset from the most stable computed form, eV per formula unit: 7.44
Space-group type: P4/mmm


(10)
Pr4Al5Zn2 | PBE | optimized geometry

POSCAR file:
```
Pr4Al5Zn2
1.0
7.420 0.000 0.000
0.000 3.731 0.000
-0.562 0.000 9.602
Pr Al Zn
4 5 2
direct
0.172 0.000 0.384
0.277 0.000 0.940
0.723 0.000 0.060
0.828 0.000 0.616
0.202 0.500 0.668
0.436 0.500 0.213
0.500 0.500 0.500
0.564 0.500 0.787
0.798 0.500 0.332
0.055 0.500 0.134
0.945 0.500 0.866
```

Calculated values
VASP energy, eV per cell: -43.5
E_form, eV per atom: -0.285
Space-group type: P2/m


(11)
BaInP2 | PBE | optimized geometry

POSCAR file:
```
BaInP2
1.0
5.390 -2.078 0.000
5.390 2.078 0.000
-0.121 0.000 5.157
Ba In P
1 1 2
direct
0.000 0.000 0.000
0.715 0.715 0.554
0.289 0.289 0.224
0.448 0.448 0.491
```

Calculated values
VASP energy, eV per cell: -17.1
E_form, eV per atom: -0.405
Space-group type: Cm


(12)
Sr4Cd2Br | PBE | optimized geometry

POSCAR file:
```
Sr4Cd2Br
1.0
-3.048 3.048 8.035
3.048 -3.048 8.035
3.048 3.048 -8.035
Sr Cd Br
4 2 1
direct
0.000 0.500 0.500
0.204 0.204 0.000
0.500 0.000 0.500
0.796 0.796 0.000
0.405 0.405 0.000
0.595 0.595 0.000
0.000 0.000 0.000
```

Calculated values
VASP energy, eV per cell: -13.3
Space-group type: I4/mmm